No. 1
VASP calculation (GGA-PBE) on a relaxed structure of Ac4ErCd3.

Geometry as CIF:
```
data_Ac4ErCd3
_chemical_formula_sum 'Ac4 Er1 Cd3'
_cell_length_a 4.0023
_cell_length_b 5.8722
_cell_length_c 11.8145
_cell_angle_alpha 90.00
_cell_angle_beta 90.00
_cell_angle_gamma 90.00
_symmetry_space_group_name_H-M 'P m m m'
_symmetry_Int_Tables_number 47
_symmetry_space_group_name_Hall '-P 2 2'
loop_
_atom_site_label
_atom_site_type_symbol
_atom_site_fract_x
_atom_site_fract_y
_atom_site_fract_z
Ac1 Ac 0.0000 0.0000 0.0000
Ac2 Ac 0.0000 0.0000 0.5000
Ac3 Ac 0.0000 0.5000 0.2420
Er1 Er 0.5000 0.5000 0.5000
Cd1 Cd 0.5000 0.0000 0.2565
Cd2 Cd 0.5000 0.5000 0.0000
```

Total energy: -0.2312 Ry per atom
DOS(E_F): 9.92 states/eV/f.u.
Magnetization: 0.00 μB per cell

***

No. 2
VASP calculation (GGA-PBE) on a relaxed structure of AlTcRh4.

Geometry as CIF:
```
data_AlTcRh4
_chemical_formula_sum 'Al4 Tc4 Rh16'
_cell_length_a 7.1743
_cell_length_b 7.1743
_cell_length_c 7.1743
_cell_angle_alpha 90.00
_cell_angle_beta 90.00
_cell_angle_gamma 90.00
_symmetry_space_group_name_H-M 'F -4 3 m'
_symmetry_Int_Tables_number 216
_symmetry_space_group_name_Hall 'F -4 2 3'
loop_
_atom_site_label
_atom_site_type_symbol
_atom_site_fract_x
_atom_site_fract_y
_atom_site_fract_z
Al1 Al 0.0000 0.0000 0.0000
Tc1 Tc 0.2500 0.2500 0.2500
Rh1 Rh 0.1252 0.1252 0.6252
```

Total energy: -0.5193 Ry per atom
DOS(E_F): 8.19 states/eV/f.u.
Magnetization: 9.61 μB per cell

***

No. 3
VASP calculation (GGA-PBE) on a relaxed structure of KNa2Au2.

Geometry as CIF:
```
data_KNa2Au2
_chemical_formula_sum 'K4 Na8 Au8'
_cell_length_a 13.6840
_cell_length_b 6.3184
_cell_length_c 8.8241
_cell_angle_alpha 90.00
_cell_angle_beta 125.63
_cell_angle_gamma 90.00
_symmetry_space_group_name_H-M 'C 1 2/c 1'
_symmetry_Int_Tables_number 15
_symmetry_space_group_name_Hall '-C 2yc'
loop_
_atom_site_label
_atom_site_type_symbol
_atom_site_fract_x
_atom_site_fract_y
_atom_site_fract_z
K1 K 0.0000 0.1377 0.2500
Na1 Na 0.2112 0.3779 0.7998
Au1 Au 0.0603 0.3657 0.9481
```

Distance to the lowest polymorph of the same formula: 18 meV/atom
Total energy: -0.1706 Ry per atom
DOS(E_F): 2.03 states/eV/f.u.
Magnetization: 0.00 μB per cell